VASP calculation (GGA+U) on a geometry-optimized Sr10Mg5Mo4WO30 structure.

a b c (Å): 5.6500 5.6524 23.3800
angles (deg): 89.87 83.31 60.06
With the nearest neighbours (Å) after each atom.
Space group P-1 (No. 2)
Inequivalent atoms, fractional coordinates:
Sr  0.0033  0.2489  0.2493 (multiplicity 2)  6 O 2.55-2.81
Sr  0.1977  0.1506  0.9499 (multiplicity 2)  6 O 2.55-2.81
Sr  0.2033  0.6491  0.4494 (multiplicity 2)  6 O 2.55-2.81
Sr  0.3961  0.5510  0.1516 (multiplicity 2)  6 O 2.55-2.81
Sr  0.4029  0.0494  0.6493 (multiplicity 2)  6 O 2.55-2.80
Mg  0.0992  0.2003  0.0997 (multiplicity 2)  6 O 2.08-2.10
Mg  0.3002  0.5998  0.3003 (multiplicity 2)  6 O 2.08-2.09
Mg  0.5000  0.0000  0.5000 (multiplicity 1)  6 O 2.09
Mo  0.0999  0.7001  0.5999 (multiplicity 2)  6 O 1.95
Mo  0.3001  0.1001  0.7998 (multiplicity 2)  6 O 1.95
W  0.5000  0.5000  0.0000 (multiplicity 1)  6 O 1.95
O  0.0546  0.2294  0.7407 (multiplicity 2)  1 Mo 1.95, 1 Mg 2.09
O  0.0701  0.9727  0.8416 (multiplicity 2)  1 Mo 1.95, 1 Mg 2.09
O  0.0768  0.4540  0.8428 (multiplicity 2)  1 Mo 1.95, 1 Mg 2.09
O  0.1238  0.9456  0.3572 (multiplicity 2)  1 Mo 1.95, 1 Mg 2.08
O  0.1308  0.4271  0.3585 (multiplicity 2)  1 Mo 1.95, 1 Mg 2.09
O  0.1445  0.1708  0.4593 (multiplicity 2)  1 Mo 1.95, 1 Mg 2.09
O  0.2581  0.6271  0.9400 (multiplicity 2)  1 W 1.95, 1 Mg 2.09
O  0.2677  0.3731  0.0414 (multiplicity 2)  1 W 1.95, 1 Mg 2.08
O  0.2742  0.8558  0.0426 (multiplicity 2)  1 W 1.95, 1 Mg 2.08
O  0.3236  0.3460  0.5569 (multiplicity 2)  1 Mo 1.95, 1 Mg 2.09
O  0.3307  0.8273  0.5584 (multiplicity 2)  1 Mo 1.95, 1 Mg 2.09
O  0.3441  0.5711  0.6591 (multiplicity 2)  1 Mo 1.95, 1 Mg 2.09
O  0.4539  0.0293  0.1413 (multiplicity 2)  1 Mo 1.95, 1 Mg 2.10
O  0.4697  0.7727  0.2420 (multiplicity 2)  1 Mo 1.95, 1 Mg 2.09
O  0.4768  0.2539  0.2433 (multiplicity 2)  1 Mo 1.95, 1 Mg 2.08

Summary:
- Total energy: -336.31 eV per cell
- Crystal system: triclinic
- Density of states at the Fermi level: 0.00 states/eV/cell
- Magnetic moment: 0.00 μB per formula unit